Record 1
Co2SeO | PBE with a Hubbard U | optimized geometry

Output
symmetry: Pnma

Geometry as POSCAR:
```
Co2SeO
1.0
5.751 0.000 0.000
0.000 3.423 0.000
0.000 0.000 12.362
Co Se O
8 4 4
Cartesian
1.313 2.567 1.038
0.685 0.856 3.767
5.067 2.567 8.595
4.438 0.856 11.324
4.189 2.567 5.143
3.560 0.856 2.414
1.563 0.856 7.219
2.191 2.567 9.948
1.237 0.856 11.395
4.515 2.567 0.966
4.112 0.856 7.147
1.639 2.567 5.214
1.235 2.567 8.280
1.641 0.856 2.099
4.517 0.856 4.082
4.110 2.567 10.263
```

***

Record 2
CoSeO4 | PBE with a Hubbard U | optimized geometry

Output
symmetry: Cc

Geometry as POSCAR:
```
CoSeO4
1.0
3.958 0.000 0.000
-0.033 6.160 0.000
-1.960 -3.079 6.182
O Se Co
8 2 2
Cartesian
2.710 1.819 1.383
0.974 3.070 5.546
-1.255 1.261 4.778
-1.228 -1.262 4.796
0.223 0.010 2.871
2.683 4.342 1.407
0.206 3.086 3.309
0.988 -0.010 0.634
-0.059 0.010 4.555
-0.079 3.091 1.626
3.228 0.001 1.189
-0.744 3.080 4.992
```

***

Record 3
CoSeO4 | PBE with a Hubbard U | optimized geometry

Output
symmetry: Cmcm

Geometry as POSCAR:
```
CoSeO4
1.0
-2.725 -4.031 0.000
-2.725 4.031 0.000
0.000 0.000 -6.485
Co Se O
2 2 8
Cartesian
0.000 0.000 0.000
0.000 0.000 -3.242
-2.725 1.180 -1.621
-2.725 -1.180 -4.863
-4.090 -0.173 -4.863
-2.725 -2.043 -3.446
-2.725 2.043 -3.039
-2.725 2.043 -0.204
-4.090 0.173 -1.621
-1.359 -0.173 -4.863
-2.725 -2.043 -6.281
-1.359 0.173 -1.621
```

***

Record 4
CoSeO4 | PBE with a Hubbard U | optimized geometry

Output
symmetry: Pnma

Geometry as POSCAR:
```
CoSeO4
1.0
-1.157 4.952 7.454
-6.583 -1.023 -0.343
0.476 -3.976 2.715
O Co Se
16 4 4
Cartesian
-1.763 0.103 1.085
-1.750 -1.153 4.590
-1.096 2.972 7.411
-3.904 2.535 7.265
-3.404 0.717 3.089
-5.092 -1.214 4.050
-0.596 1.153 3.235
-5.502 -0.150 8.741
-6.669 -1.200 6.591
-2.172 1.168 5.776
-6.169 -3.018 2.415
-2.274 0.867 8.628
-4.991 -0.914 1.198
-3.861 -0.763 6.737
-3.361 -2.582 2.561
-5.515 1.107 5.236
-3.292 -0.511 -0.171
-0.341 0.488 5.084
-3.632 -0.023 4.913
0.000 0.000 0.000
-5.262 -1.269 7.477
-2.366 1.902 7.302
-4.899 -1.949 2.524
-2.002 1.222 2.349
```

***

Record 5
SrSmCo2Se2O2 | PBE with a Hubbard U | optimized geometry

Output
symmetry: P3m1

Geometry as POSCAR:
```
SrSmCo2Se2O2
1.0
-3.582 1.716 0.336
1.146 -2.755 2.643
4.435 8.002 6.419
O Se Co Sr Sm
2 2 2 1 1
Cartesian
1.023 5.691 5.489
-1.294 1.511 2.136
3.593 5.995 7.697
1.933 3.488 2.798
0.220 4.243 4.328
2.397 8.170 7.478
0.564 0.530 3.314
3.188 5.752 4.614
```

***

Record 6
Sr2Co2TeSeO2 | PBE with a Hubbard U | optimized geometry

Output
symmetry: P3m1

Geometry as POSCAR:
```
Sr2Co2TeSeO2
1.0
4.121 0.000 0.000
-2.060 3.569 0.000
0.000 0.000 11.914
Te Se O Sr Co
1 1 2 2 2
Cartesian
0.000 2.379 11.012
0.000 0.000 5.068
2.060 1.190 2.056
2.060 1.190 7.782
0.000 2.379 2.718
0.000 0.000 8.444
2.060 1.190 0.190
2.060 1.190 5.915
```

***

Record 7
Sr2ZnCoSe2O2 | PBE with a Hubbard U | optimized geometry

Output
symmetry: P3m1

Geometry as POSCAR:
```
Sr2ZnCoSe2O2
1.0
-0.220 3.043 -2.637
1.104 -3.673 -1.247
-11.224 -2.653 -2.124
Se Sr O Zn Co
2 2 2 1 1
Cartesian
-4.505 -0.313 -3.068
-9.731 -3.891 -3.677
-7.921 -1.120 -3.714
-1.821 -2.021 -2.180
-1.815 -0.429 -0.343
-7.464 -1.764 -1.412
-5.637 -1.332 -1.067
-0.021 -0.005 -0.004
```

***

Record 8
Co2Te3SeO10 | PBE with a Hubbard U | optimized geometry

Output
symmetry: Pnma

Geometry as POSCAR:
```
Co2Te3SeO10
1.0
9.053 0.000 0.000
0.000 12.124 0.000
0.000 0.000 8.064
O Se Te Co
40 4 12 8
Cartesian
8.012 0.120 3.040
8.012 5.942 3.040
5.977 7.728 1.482
3.076 4.396 6.582
3.485 0.120 0.992
1.041 12.004 5.024
1.451 10.458 2.550
8.921 4.544 0.578
5.977 10.458 1.482
1.041 6.182 5.024
7.603 1.666 5.514
4.394 4.544 3.453
1.093 3.031 5.423
1.672 1.433 2.777
8.702 3.031 2.889
3.434 9.093 1.391
5.620 3.031 6.673
1.451 7.728 2.550
6.199 1.433 1.255
0.133 7.580 7.485
4.394 1.518 3.453
3.485 5.942 0.992
5.568 6.182 7.072
3.076 1.666 6.582
5.568 12.004 7.072
2.855 10.691 6.809
4.175 3.031 1.143
7.603 4.396 5.514
6.199 4.629 1.255
1.672 4.629 2.777
7.382 10.691 5.287
4.879 9.093 6.921
8.921 1.518 0.578
4.660 10.606 4.610
0.352 9.093 5.175
0.133 10.606 7.485
4.660 7.580 4.610
7.960 9.093 2.641
7.382 7.495 5.287
2.855 7.495 6.809
1.691 9.093 1.481
7.363 3.031 6.583
2.836 3.031 5.513
6.218 9.093 2.551
3.093 0.164 2.857
7.620 0.164 1.175
5.961 6.226 5.207
7.620 5.898 1.175
5.961 11.960 5.207
1.434 11.960 6.889
1.434 6.226 6.889
5.451 3.031 2.576
3.093 5.898 2.857
8.129 9.093 6.608
3.602 9.093 5.488
0.925 3.031 1.456
4.629 4.554 7.921
4.629 1.508 7.921
4.425 7.570 0.143
8.952 10.616 3.889
0.102 1.508 4.175
0.102 4.554 4.175
8.952 7.570 3.889
4.425 10.616 0.143
```

***

Record 9
ZnCoSeO | PBE with a Hubbard U | optimized geometry

Output
symmetry: P2_12_12_1

Geometry as POSCAR:
```
ZnCoSeO
1.0
5.905 0.000 0.000
0.000 6.124 0.000
0.000 0.000 7.054
Co Se Zn O
4 4 4 4
Cartesian
1.249 4.983 3.987
4.656 1.921 6.594
4.201 4.203 3.067
1.703 1.141 0.460
5.769 2.505 4.401
3.088 3.619 0.874
2.817 0.557 2.653
0.136 5.567 6.181
0.613 4.068 1.012
5.292 1.006 2.516
2.340 2.056 4.539
3.565 5.118 6.043
2.878 3.999 4.504
5.831 5.187 2.550
3.027 0.937 6.077
0.074 2.125 0.977
```

***

Record 10
ZnCoSeO | PBE with a Hubbard U | optimized geometry

Output
symmetry: Pnma

Geometry as POSCAR:
```
ZnCoSeO
1.0
5.734 0.000 0.000
0.000 3.494 0.000
0.000 0.000 12.801
Co Zn O Se
4 4 4 4
Cartesian
3.563 0.873 2.439
5.038 2.620 8.839
2.171 2.620 10.362
0.696 0.873 3.962
4.005 2.620 5.172
4.596 0.873 11.572
1.729 0.873 7.629
1.138 2.620 1.229
1.271 2.620 8.636
1.596 0.873 2.235
4.463 0.873 4.165
4.138 2.620 10.566
1.531 2.620 5.443
1.336 0.873 11.844
4.398 2.620 0.958
4.203 0.873 7.358
```

***

Record 11
ZnCoSeO | PBE with a Hubbard U | optimized geometry

Output
symmetry: Cmc2_1

Geometry as POSCAR:
```
ZnCoSeO
1.0
1.738 -6.311 0.000
1.738 6.311 0.000
0.000 0.000 5.724
Zn Se Co O
2 2 2 2
Cartesian
1.738 5.564 2.114
1.738 -5.564 4.976
1.738 2.242 0.171
1.738 -2.242 3.033
1.738 -2.059 5.532
1.738 2.059 2.670
1.738 5.332 0.155
1.738 -5.332 3.017
```

***

Record 12
ZnCoSeO | PBE with a Hubbard U | optimized geometry

Output
symmetry: P2_12_12_1

Geometry as POSCAR:
```
ZnCoSeO
1.0
-1.065 2.962 4.754
-2.332 -5.893 3.149
6.492 -1.345 2.292
Co Se Zn O
4 4 4 4
Cartesian
0.966 0.994 4.601
-0.546 -3.151 3.675
2.435 -3.963 8.267
3.333 -2.431 3.846
3.758 -3.369 6.201
-2.313 -2.510 7.724
1.514 -2.728 2.198
3.229 0.056 4.267
0.133 -2.250 6.896
4.380 -0.949 6.365
-0.015 -0.671 1.789
1.690 -4.681 5.340
-0.284 0.272 3.418
1.084 -2.702 8.532
5.004 -2.881 3.148
0.383 -3.240 5.292
```

***

Record 13
ZnCoSeO | PBE with a Hubbard U | optimized geometry

Output
symmetry: P6_3mc

Geometry as POSCAR:
```
ZnCoSeO
1.0
-1.379 2.345 2.205
1.476 -2.921 1.248
10.353 5.498 0.626
O Zn Se Co
2 2 2 2
Cartesian
3.367 1.788 0.204
8.543 4.537 0.517
3.355 0.338 1.738
7.580 4.842 2.371
6.736 2.134 1.943
0.609 1.140 1.949
10.238 5.437 0.619
5.062 2.688 0.306
```

***

Record 14
ZnCoSeO | PBE with a Hubbard U | optimized geometry

Output
symmetry: Pca2_1

Geometry as POSCAR:
```
ZnCoSeO
1.0
-4.062 2.226 3.514
0.804 -6.195 4.855
3.922 2.714 2.814
Co Se O Zn
4 4 4 4
Cartesian
1.829 1.395 3.041
0.407 -2.184 8.475
-0.634 0.313 2.069
-2.056 -3.266 7.503
1.279 -1.169 2.815
1.713 1.026 5.544
-0.511 -1.909 6.025
-0.078 0.286 8.753
-0.512 3.599 5.606
1.312 -4.759 5.675
2.208 -2.818 8.004
-1.407 1.657 3.277
1.804 -2.793 5.930
-2.884 0.331 4.001
-0.435 -3.998 4.764
-0.645 1.536 5.167
```

***

Record 15
ZnCoSeO | PBE with a Hubbard U | optimized geometry

Output
symmetry: Pca2_1

Geometry as POSCAR:
```
ZnCoSeO
1.0
6.255 0.000 0.000
0.000 6.814 0.000
0.000 0.000 5.469
Se Zn Co O
4 4 4 4
Cartesian
0.555 2.412 1.662
2.573 2.412 4.397
5.700 4.402 4.397
3.682 4.402 1.662
4.006 6.267 3.428
5.376 6.267 0.693
0.878 0.547 3.428
2.249 0.547 0.693
1.424 4.522 2.859
1.704 4.522 0.125
4.831 2.292 0.125
4.551 2.292 2.859
4.030 0.712 1.622
0.902 6.101 1.622
5.353 0.712 4.357
2.225 6.101 4.357
```

***

Record 16
ZnCoSeO | PBE with a Hubbard U | optimized geometry

Output
symmetry: Pbca

Geometry as POSCAR:
```
ZnCoSeO
1.0
-5.333 -1.889 -3.018
-1.662 -3.792 5.310
-6.181 9.595 4.918
Co Zn O Se
8 8 8 8
Cartesian
-3.356 0.205 3.895
-7.072 3.577 8.350
-9.820 3.710 3.315
-9.478 2.229 6.633
-7.413 5.058 5.031
-3.698 1.686 0.576
-6.104 0.337 -1.140
-5.763 -1.144 2.179
-6.846 2.029 5.257
-3.931 -3.171 3.362
-4.321 4.525 3.561
-11.769 4.589 5.544
-1.407 -0.675 1.665
-8.855 -0.611 3.649
-9.245 7.085 3.848
-6.330 1.885 1.952
-5.558 5.687 4.570
-5.446 0.598 0.744
-4.596 -1.380 3.865
-2.423 0.991 1.970
-7.731 3.316 6.466
-8.580 5.295 3.344
-7.618 -1.773 2.639
-10.753 2.924 5.240
-5.742 0.253 6.465
-7.257 8.469 4.235
-8.357 1.733 3.348
-4.997 -2.626 0.372
-7.434 3.661 0.745
-4.819 2.182 3.862
-5.920 -4.555 2.975
-8.179 6.540 6.838
```

***

Number 1: ρ 5.8 g cm⁻³, total energy -5.12 eV/atom. Number 2: ρ 4.4 g cm⁻³, total energy -5.30 eV/atom. Number 3: ρ 4.7 g cm⁻³, total energy -5.37 eV/atom. Number 4: ρ 4.6 g cm⁻³, total energy -5.53 eV/atom. Number 5: ρ 5.9 g cm⁻³, total energy -5.80 eV/atom. Number 6: ρ 5.0 g cm⁻³, total energy -5.25 eV/atom. Number 7: ρ 4.9 g cm⁻³, total energy -5.01 eV/atom. Number 8: ρ 5.6 g cm⁻³, total energy -5.55 eV/atom. Number 9: ρ 5.7 g cm⁻³, total energy -4.43 eV/atom. Number 10: ρ 5.7 g cm⁻³, total energy -4.38 eV/atom. Number 11: ρ 5.8 g cm⁻³, total energy -4.40 eV/atom. Number 12: ρ 5.1 g cm⁻³, total energy -4.37 eV/atom. Number 13: ρ 5.8 g cm⁻³, total energy -4.27 eV/atom. Number 14: ρ 5.7 g cm⁻³, total energy -4.34 eV/atom. Number 15: ρ 6.2 g cm⁻³, total energy -4.32 eV/atom. Number 16: ρ 5.4 g cm⁻³, total energy -4.30 eV/atom.